(1)
# GaPdCN2

A crystal of GaPdCN2 relaxed with PBEsol (SCAN, Alexandria via LeMat-Bulk).

Values from the calculation:
**Total moment**: 2.65 μB per formula unit
**Uncorrected formation energy**: 2.113 eV/atom
**Space-group type**: P4/mmm (123)
**Total DFT energy (no corrections)**: -67.238 eV/cell

abc: 3.8833 3.9957 3.9957
angles: 90.00 90.00 90.00
Last column: nearest neighbours and their distance in Å.
Atoms (fractional coordinates):
Ga (0.5000, 0.5000, 0.5000)  8 N 2.79, 4 C 2.83
N (0.0000, 0.5000, 0.0000)  2 Pd 2.00
N (0.0000, 0.0000, 0.5000)  2 Pd 2.00
Pd (0.0000, 0.0000, 0.0000)  2 C 1.94, 4 N 2.00
C (0.5000, 0.0000, 0.0000)  2 Pd 1.94


(2)
# GaSi3C3N

A crystal of GaSi3C3N relaxed with PBEsol (SCAN, Alexandria via LeMat-Bulk).

Values from the calculation:
**Total moment**: 0.00 μB per formula unit
**Uncorrected formation energy**: -0.401 eV/atom
**Space-group type**: Pm (6)
**Total DFT energy (no corrections)**: -89.193 eV/cell

abc: 3.0937 5.0746 5.3652
angles: 90.23 90.00 90.00
Last column: nearest neighbours and their distance in Å.
Atoms (fractional coordinates):
Si (0.0000, 0.0083, 0.3373)  1 N 1.82, 3 C 1.87-1.89
Si (0.5000, 0.0011, 0.8311)  4 C 1.88-1.90
Si (0.0000, 0.4976, 0.6651)  1 N 1.80, 3 C 1.86-1.90
C (0.5000, 0.9030, 0.1695)  3 Si 1.87-1.88, 1 Ga 2.00
C (0.0000, 0.8719, 0.6645)  4 Si 1.89-1.90
C (0.5000, 0.3711, 0.8162)  3 Si 1.86-1.88, 1 Ga 1.99
Ga (0.5000, 0.5084, 0.1634)  2 C 1.99-2.00, 2 N 1.99
N (0.0000, 0.3667, 0.3531)  2 Si 1.80-1.82, 2 Ga 1.99


(3)
# Ga2TeCN

A crystal of Ga2TeCN relaxed with PBEsol (SCAN, Alexandria via LeMat-Bulk).

Values from the calculation:
**Total moment**: 0.00 μB per formula unit
**Uncorrected formation energy**: 1.615 eV/atom
**Space-group type**: P4/mmm (123)
**Total DFT energy (no corrections)**: -81.259 eV/cell

abc: 4.0058 4.0058 5.0377
angles: 90.00 90.00 90.00
Last column: nearest neighbours and their distance in Å.
Atoms (fractional coordinates):
Ga (0.0000, 0.5000, 0.0000)  2 C 2.00
Ga (0.5000, 0.0000, 0.0000)  2 C 2.00
Te (0.0000, 0.0000, 0.5000)  2 C 2.52
N (0.5000, 0.5000, 0.5000)  4 Te 2.83
C (0.0000, 0.0000, 0.0000)  4 Ga 2.00


> Look up the uncorrected formation energy of the third one.

1.615 eV/atom


> Which of these has the highest uncorrected formation energy?

GaPdCN2